U3S3F4: optimized geometry, GGA-PBE.

```
20
Lattice="-5.9514 -4.6193 2.2428 6.6124 -4.2349 -0.3587 0.8985 5.8258 5.2000" Properties=species:S:1:pos:R:3 pbc="T T T"
S 4.4103 -4.1321 0.8968
S 2.0259 -0.9657 5.6827
S 1.9604 -0.7090 1.4458
S 0.0061 -3.9266 3.4079
U 4.5523 -1.5689 1.9613
U -2.8508 1.1037 6.1872
F 0.3175 2.0589 1.8378
U -0.4664 -2.0627 1.4014
F -2.7471 -2.7536 2.1598
U 1.5533 0.8982 3.6762
F 3.1167 -3.0109 3.4153
F 3.9840 0.3515 3.4591
U 2.2909 -5.1361 2.3879
F -1.7728 -6.0596 1.7346
F 1.2029 -3.7500 0.6133
F -0.1896 -0.8934 3.5946
S -2.9928 -1.4595 5.1227
F 0.7668 4.9718 4.4378
S -0.7314 2.1077 4.6962
U -0.4009 -2.3193 5.6382
```

Values from the calculation:
Raw formation energy ... -2401 meV per atom

BaTe2P: optimized geometry, GGA-PBE.

```
4
Lattice="2.9967 0.0000 5.5282 -1.4984 2.5952 5.5282 -1.4984 -2.5952 5.5282" Properties=species:S:1:pos:R:3 pbc="T T T"
Te 0.0000 0.0000 3.5152
Ba 0.0000 0.0000 0.0000
Te 0.0000 0.0000 13.0694
P 0.0000 0.0000 8.2923
```

Values from the calculation:
Raw formation energy ... -372 meV per atom

Rb2Hg2O: optimized geometry, GGA-PBE.

```
5
Lattice="-0.8781 -0.3446 4.0292 -3.1805 -2.3435 1.2315 5.8183 -10.2267 2.5184" Properties=species:S:1:pos:R:3 pbc="T T T"
O 0.0000 0.0000 0.0000
Hg 2.9513 -6.4962 2.2126
Rb -1.8495 -2.9060 3.5984
Hg -1.1915 -6.4185 5.5665
Rb 3.6093 -10.0087 4.1806
```

Values from the calculation:
Raw formation energy ... -565 meV per atom

Ca4Si3Pd4: optimized geometry, GGA-PBE.

```
22
Lattice="10.8648 -0.0090 -0.0103 9.3673 5.5043 -0.0103 2.4811 0.6739 7.4082" Properties=species:S:1:pos:R:3 pbc="T T T"
Ca 13.5952 4.4350 0.6817
Ca 15.2114 3.3892 4.3858
Ca 12.9908 5.7007 6.1135
Ca 9.8642 4.8514 4.9781
Pd 17.9822 4.0733 6.0459
Ca 9.1180 1.7342 6.7059
Si 12.1546 2.5988 5.5458
Pd 4.7310 2.0959 1.3417
Si 10.5587 3.5704 1.8417
Pd 13.9940 2.9988 7.2139
Pd 10.3657 2.0133 3.8778
Si 5.5974 2.3031 6.9240
Si 17.9604 5.6610 4.1676
Si 4.7529 0.5082 3.2199
Ca 12.8491 1.3178 2.4094
Pd 6.3818 0.9225 5.0458
Si 17.1159 3.8662 0.4635
Pd 8.7193 3.1705 0.1737
Ca 9.7225 0.4686 1.2740
Ca 7.5019 2.7800 3.0018
Pd 12.3476 4.1559 3.5098
Pd 16.3315 5.2467 2.3418
```

Values from the calculation:
Raw formation energy ... -807 meV per atom

K2SnHg: optimized geometry, GGA-PBE.

```
4
Lattice="-1.6234 0.7122 3.2014 -2.5917 -2.4676 -0.7653 5.7550 -7.4645 4.5790" Properties=species:S:1:pos:R:3 pbc="T T T"
Hg -2.1075 -0.8777 1.2181
K 4.3193 -5.6024 3.4367
Sn 0.7700 -4.6099 3.5076
K 1.4357 -1.8621 1.1423
```

Values from the calculation:
Energy relative to the elements ... -41 kJ/mol of formula units

La3Pr4Rh2: optimized geometry, GGA-PBE.

```
9
Lattice="-3.7381 1.0494 0.2162 -1.5119 -6.7211 6.4846 4.2183 7.1640 3.1912" Properties=species:S:1:pos:R:3 pbc="T T T"
La 0.0395 -0.1993 1.6511
Pr 0.0955 -0.8415 5.7368
Pr 1.5212 4.7820 3.0903
Pr -2.5528 -3.2897 6.8016
Rh -1.9710 -0.5741 3.6796
Pr -1.1271 2.3337 4.1552
Rh 0.9394 2.0664 6.2124
La -0.7559 -3.3606 3.2423
La -1.0711 1.6916 8.2409
```

Values from the calculation:
Energy relative to the elements ... -284 kJ/mol of formula units

SrReS2: optimized geometry, GGA-PBE.

```
8
Lattice="5.7004 0.0000 0.0000 0.0000 5.7004 0.0000 2.8502 2.8502 6.1951" Properties=species:S:1:pos:R:3 pbc="T T T"
S 4.8157 1.4251 1.5488
Re 5.7004 2.8502 3.0976
S 0.8848 4.2753 1.5488
S 4.2753 3.7350 4.6464
Re 0.0000 0.0000 0.0000
S 7.1256 7.6659 4.6464
Sr 2.8502 2.8502 0.0000
Sr 2.8502 5.7004 3.0976
```

Values from the calculation:
Raw formation energy ... -574 meV per atom

Ac2TmRh3O12: optimized geometry, GGA-PBE.

```
18
Lattice="-5.7099 2.5812 2.4519 -4.6050 -4.5138 1.9228 -0.8162 -0.6231 6.6501" Properties=species:S:1:pos:R:3 pbc="T T T"
Tm 0.0000 0.0000 0.0000
O -9.2114 -1.9188 6.4927
O -1.9196 -0.6370 4.5321
O -4.1235 0.8061 2.6415
Ac -4.2873 -0.9844 4.2463
Rh -0.4081 -0.3116 3.3250
Ac -6.8438 -1.5713 6.7784
O -5.8748 -3.3396 4.2992
O -7.5052 -0.1666 8.6216
O -7.4384 -1.4569 4.0029
Rh -2.8549 1.2906 1.2260
O -3.6259 -2.3891 2.4031
O -6.5111 0.7467 4.6040
O -3.6927 -1.0988 7.0218
O -7.0076 -3.3618 8.3833
O -4.6199 -3.3024 6.4207
Rh -2.3025 -2.2569 0.9614
O -5.2563 0.7839 6.7255
```

Values from the calculation:
Raw formation energy ... -1674 meV per atom

BaDyGa2Au2: optimized geometry, GGA-PBE.

```
6
Lattice="-3.6177 -2.7958 0.8702 1.4396 0.6484 -4.3782 4.9670 -6.2050 0.7143" Properties=species:S:1:pos:R:3 pbc="T T T"
Dy 2.4835 -3.1025 0.3571
Ba 0.0000 0.0000 0.0000
Au -0.3880 -3.5765 -0.6573
Ga 1.5056 -5.9421 -0.3850
Au 3.1769 -4.7759 -2.1365
Ga 1.2833 -2.4103 -2.4088
```

Values from the calculation:
Energy relative to the elements ... -420 kJ/mol of formula units

PrSmSb2O8: optimized geometry, GGA-PBE.

```
12
Lattice="-3.0512 -4.2264 1.3462 1.3881 -2.4617 -4.5824 5.3564 0.9275 4.2870" Properties=species:S:1:pos:R:3 pbc="T T T"
Sb -0.8315 -3.3441 -1.6181
O 4.7532 -1.3799 1.0674
Sb 2.9565 -2.4391 -0.9567
O 2.7413 -2.6226 3.3531
O -0.2448 -5.1180 -2.0660
O 0.1369 -2.4007 -0.2528
Sm 0.0000 0.0000 0.0000
O 3.3663 0.2386 2.9820
O 1.9894 -3.3465 -2.3477
O 2.7542 -3.5073 0.6280
O -0.7233 -4.9060 0.8392
Pr 0.7368 -3.3215 2.0075
```

Values from the calculation:
Raw formation energy ... -2293 meV per atom

ReSbI2F: optimized geometry, GGA-PBE.

```
5
Lattice="-3.5714 3.8650 -2.6293 -2.6744 -4.4032 -2.8399 -2.7717 -0.3823 3.2029" Properties=species:S:1:pos:R:3 pbc="T T T"
F 0.0000 0.0000 0.0000
I -1.3372 -2.2016 -1.4200
Sb -1.3859 -0.1911 1.6014
I -1.7857 1.9325 -1.3146
Re -4.5087 -0.4603 -1.1332
```

Values from the calculation:
Raw formation energy ... 882 meV per atom

Ba2Li3Al12Au: optimized geometry, GGA-PBE.

```
18
Lattice="10.3985 2.1312 1.5116 6.9885 7.9895 1.5116 6.9885 4.0679 7.0406" Properties=species:S:1:pos:R:3 pbc="T T T"
Al 11.4905 6.6884 3.1054
Ba 8.5662 4.9862 3.5367
Ba 15.8093 9.2023 6.5271
Al 10.1457 7.4522 5.2857
Al 18.7192 8.5794 8.5400
Al 14.2298 6.7364 4.7781
Al 11.4905 5.1419 5.2857
Li 3.4942 3.9947 0.7558
Al 5.6563 5.6091 1.5238
Al 18.7192 10.8961 5.2738
Al 7.6708 2.1483 1.5238
Al 12.8850 9.0467 4.7781
Al 5.6563 3.2924 4.7900
Al 16.7048 12.0403 8.5400
Li 5.1993 1.0656 0.7558
Au 0.0000 0.0000 0.0000
Al 12.8850 7.5002 6.9585
Li 3.4942 2.0339 3.5203
```

Values from the calculation:
Energy relative to the elements ... -36 kJ/mol of formula units

La3Zn8Cd3: optimized geometry, GGA-PBE.

```
14
Lattice="-0.2562 -3.6512 -2.8430 8.2375 -1.9595 -2.0035 3.6094 -6.5998 4.3731" Properties=species:S:1:pos:R:3 pbc="T T T"
Zn 5.2509 -4.1154 -2.7432
Zn 6.3398 -8.0951 2.2698
Cd 7.2963 -2.9032 -0.7067
Cd 4.5506 -5.6561 3.0763
Zn 2.7383 -6.6347 0.7187
La 9.4018 -7.5678 1.3165
La 5.7953 -6.1053 -0.2367
Zn 7.0311 -9.3751 0.0737
Zn 8.8524 -5.5759 -1.1921
La 2.1889 -4.6428 -1.7900
Cd -0.1281 -1.8256 -1.4215
Zn 4.5596 -2.8354 -0.5471
Zn 8.2968 -8.1061 -1.6702
Zn 3.2939 -4.1045 1.1968
```

Values from the calculation:
Energy relative to the elements ... -451 kJ/mol of formula units

Zr2TaZnH: optimized geometry, GGA-PBE.

```
5
Lattice="4.5073 0.0000 0.0000 0.0000 4.5073 0.0000 0.0000 0.0000 3.9009" Properties=species:S:1:pos:R:3 pbc="T T T"
Zn 0.0000 0.0000 1.9505
Ta 2.2537 2.2537 1.9505
Zr 0.0000 2.2537 0.0000
H 0.0000 0.0000 0.0000
Zr 2.2537 0.0000 0.0000
```

Values from the calculation:
Calculated total energy ... -6.76 eV per atom

AcLa4HoTm2: optimized geometry, GGA-PBE.

```
8
Lattice="5.2417 0.0000 0.0000 2.6209 5.7535 -0.5585 2.6209 -0.0955 9.4016" Properties=species:S:1:pos:R:3 pbc="T T T"
Tm 7.8626 4.2848 6.6903
Ho 0.0000 0.0000 0.0000
Ac 5.2417 2.8290 4.4216
La 5.2417 2.0693 8.0417
La 7.8626 5.0063 2.9798
Tm 2.6209 1.3732 2.1529
La 2.6209 0.6517 5.8634
La 5.2417 3.5887 0.8014
```

Values from the calculation:
Energy relative to the elements ... 29 kJ/mol of formula units

PmSm3Ho2S6: optimized geometry, GGA-PBE.

```
12
Lattice="6.8799 -0.0113 -0.0011 -3.4480 5.9535 -0.0011 -1.1458 -1.9839 6.4958" Properties=species:S:1:pos:R:3 pbc="T T T"
S 3.4660 1.9240 4.9105
Sm 4.6283 -0.0337 3.2468
Ho 3.4326 1.9797 -0.0011
Sm 1.1430 1.9792 3.2468
S 0.0279 0.0484 4.9334
S 2.3517 -0.0053 1.5832
Sm -2.3422 3.9920 3.2468
Ho -0.0007 3.9625 -0.0011
S -1.1799 2.0343 1.5832
S -0.0656 3.9637 4.9105
S 2.2581 3.9099 1.5603
Pm 0.0000 0.0000 0.0000
```

Values from the calculation:
Raw formation energy ... -2012 meV per atom

Li2H4Rh: optimized geometry, GGA-PBE.

```
7
Lattice="-0.3355 -3.1152 -1.4603 2.8757 0.5516 -1.8373 3.9643 -3.2690 1.9715" Properties=species:S:1:pos:R:3 pbc="T T T"
Li 2.0239 -1.8378 -0.6359
H 1.4378 0.2758 -0.9186
H 3.0482 -2.5933 0.7405
Li 4.4806 -3.9948 -0.6902
H 3.4563 -3.2393 -2.0665
H -0.1677 -1.5576 -0.7301
Rh 0.0000 0.0000 0.0000
```

Values from the calculation:
Calculated total energy ... -3.91 eV per atom

Tb2Al3Re: optimized geometry, GGA-PBE.

```
6
Lattice="-5.0672 -2.2226 0.3387 4.4796 -3.2230 0.5263 1.8742 3.2502 3.9614" Properties=species:S:1:pos:R:3 pbc="T T T"
Re 0.0000 0.0000 0.0000
Al 0.9371 1.6251 1.9807
Al 0.6433 -1.0977 2.4132
Tb -1.8855 -2.4763 0.9030
Al -1.5965 0.5138 2.1501
Tb 3.1721 0.2809 3.9234
```

Values from the calculation:
Energy relative to the elements ... -236 kJ/mol of formula units

K2MnFeBr6: optimized geometry, GGA-PBE.

```
10
Lattice="7.5135 0.0000 0.0008 3.7567 6.5064 0.0000 3.7571 2.1687 6.0213" Properties=species:S:1:pos:R:3 pbc="T T T"
Br 7.9734 2.1962 4.8359
Br 2.1302 0.6986 1.8016
K 3.7574 2.1692 4.8198
K 7.5133 4.3371 1.8267
Mn 11.2704 6.5063 3.3227
Br 9.1403 5.8069 4.8382
Br 3.2966 4.3104 1.8041
Fe 3.7568 2.1688 0.3118
Br 5.8418 1.4948 1.8037
Br 5.4295 5.0119 4.8362
```

Values from the calculation:
Raw formation energy ... -1000 meV per atom

Li2DySi: optimized geometry, GGA-PBE.

```
4
Lattice="-2.9461 -1.8081 2.9238 -1.9253 -3.9962 -0.9061 1.1505 -3.6629 2.3994" Properties=species:S:1:pos:R:3 pbc="T T T"
Li -0.9302 -2.3668 1.1043
Li -2.7907 -7.1004 3.3128
Dy -1.8605 -4.7336 2.2085
Si 0.0000 0.0000 0.0000
```

Values from the calculation:
Raw formation energy ... -270 meV per atom

Pm2DyHg8: optimized geometry, GGA-PBE.

```
11
Lattice="5.0474 0.0000 0.0000 0.0000 7.2698 0.1738 -2.5237 -2.9232 7.4742" Properties=species:S:1:pos:R:3 pbc="T T T"
Dy 2.5237 0.0000 0.0000
Hg 0.0000 1.6409 6.1534
Hg 2.5237 2.7058 1.4946
Hg 2.5237 4.0108 5.3568
Hg 0.0000 0.3358 2.2912
Hg 0.0000 -1.1738 4.9915
Pm 0.0000 3.5363 3.2662
Pm 2.5237 0.8103 4.3818
Hg 0.0000 5.1780 0.4405
Hg 2.5237 5.5204 2.6565
Hg 2.5237 -0.8314 7.2075
```

Values from the calculation:
Energy relative to the elements ... -361 kJ/mol of formula units

PmTlSb2: optimized geometry, GGA-PBE.

```
4
Lattice="-0.6642 -3.2394 1.0095 -0.4467 -1.6339 -5.5369 5.6648 -1.1940 -0.1047" Properties=species:S:1:pos:R:3 pbc="T T T"
Sb 2.8324 -0.5970 -0.0523
Tl 2.2769 -3.0337 -2.3160
Sb -0.2234 -0.8170 -2.7684
Pm -0.3321 -1.6197 0.5048
```

Values from the calculation:
Raw formation energy ... -404 meV per atom

Na4CaAc: optimized geometry, GGA-PBE.

```
6
Lattice="6.8583 0.0000 0.0000 3.4292 5.9395 0.0000 3.4292 1.9798 5.5998" Properties=species:S:1:pos:R:3 pbc="T T T"
Na 6.8583 3.9597 0.6961
Ca 0.0000 0.0000 0.0000
Na 6.8583 1.9762 3.5012
Na 5.1406 4.9514 3.5012
Ac 3.4292 1.9798 1.4000
Na 8.5761 4.9514 3.5012
```

Values from the calculation:
Energy relative to the elements ... 72 kJ/mol of formula units

no.,total moment (μB/cell)
1,16.00
2,0.00
3,0.23
4,0.00
5,0.00
6,0.00
7,0.00
8,0.00
9,0.00
10,0.00
11,4.93
12,0.00
13,0.00
14,0.00
15,0.00
16,0.00
17,0.00
18,0.00
19,9.01
20,0.00
21,0.00
22,0.00
23,0.00